A plane-wave DFT calculation with PBE was carried out for a relaxed structure of GaSbPb2Au4.

Summary:
As for the uncorrected formation energy: -0.0710 eV/atom.

```
8
Lattice="6.495 0.000 0.000 0.000 4.475 0.000 -2.982 0.000 6.599" Properties=species:S:1:pos:R:3 pbc="T T T"
Ga 0.000 0.000 0.000
Sb -1.491 2.237 3.299
Pb 1.756 0.000 3.299
Pb 3.247 2.237 0.000
Au 0.648 2.237 1.443
Au -0.878 0.000 4.936
Au 4.390 0.000 1.663
Au 2.864 2.237 5.156
```